Entry from Alexandria: a geometry-optimized Sb5As3 structure (PBE-GGA).

a b c (Å): 8.0223 8.0223 7.5877
angles (deg): 90.00 90.00 120.00
With the nearest neighbours (Å) after each atom.
Fractional coordinates of all 16 atoms:
Sb: 0.3333 0.6667 0.0000  6 As 3.05
Sb: 0.6667 0.3333 0.5000  6 As 3.05
Sb: 0.6667 0.3333 0.0000  6 As 3.05
Sb: 0.3333 0.6667 0.5000  6 As 3.05
Sb: 0.2235 0.0000 0.2500  3 As 2.79-2.98, 2 Sb 3.11
Sb: 0.7765 0.0000 0.7500  3 As 2.79-2.98, 2 Sb 3.11
Sb: 0.0000 0.2235 0.2500  3 As 2.79-2.98, 2 Sb 3.11
Sb: 0.7765 0.7765 0.2500  3 As 2.79-2.98, 2 Sb 3.11
Sb: 0.2235 0.2235 0.7500  3 As 2.79-2.98, 2 Sb 3.11
Sb: 0.0000 0.7765 0.7500  3 As 2.79-2.98, 2 Sb 3.11
As: 0.5709 0.0000 0.2500  7 Sb 2.79-3.05
As: 0.4291 0.0000 0.7500  7 Sb 2.79-3.05
As: 0.0000 0.5709 0.2500  7 Sb 2.79-3.05
As: 0.4291 0.4291 0.2500  7 Sb 2.79-3.05
As: 0.5709 0.5709 0.7500  7 Sb 2.79-3.05
As: 0.0000 0.4291 0.7500  7 Sb 2.79-3.05

Output
DOS(E_F) = 11.32 states/eV/cell
E = -3.980 eV per atom
Symmetry = P6_3/mcm, No. 193
Total magnetic moment = 0.0 Bohr magnetons per cell
Formation energy without anion corrections = 0.340 eV per atom